[1]
Entry from the Alexandria database: crystalline SrY2P2 at its relaxed geometry (GGA-PBE).

Unit cell a=5.220 b=5.220 c=11.019 alpha=90.00 beta=90.00 gamma=90.00
Space group I4/mmm (No. 139)
One atom of each set of equivalent atoms:
Sr  0.000  0.000  0.000 (multiplicity 2)
Y  0.000  0.000  0.324 (multiplicity 4)
P  0.000  0.500  0.250 (multiplicity 4)

The formation energy is -4.62 eV/f.u. As for the energy above the most stable polymorph in this dataset: 58.0 kJ/mol of formula units.



[2]
Entry from the Alexandria database: crystalline SrYP at its relaxed geometry (GGA-PBE).

Unit cell a=13.551 b=4.036 c=7.258 alpha=90.00 beta=98.05 gamma=90.00
Space group Cm (No. 8)
One atom of each set of equivalent atoms:
Sr  0.000  0.000  0.000 (multiplicity 2)
Sr  0.247  0.500  0.235 (multiplicity 2)
Y  0.000  0.500  0.520 (multiplicity 2)
Y  0.247  0.000  0.720 (multiplicity 2)
P  0.132  0.500  0.845 (multiplicity 2)
P  0.376  0.500  0.611 (multiplicity 2)

The formation energy is -2.67 eV/f.u. As for the energy above the most stable polymorph in this dataset: 4.2 kJ/mol of formula units.



[3]
Entry from the Alexandria database: crystalline SrYP at its relaxed geometry (GGA-PBE).

Unit cell a=4.036 b=12.525 c=7.056 alpha=90.00 beta=90.00 gamma=90.00
Space group Cmc2_1 (No. 36)
One atom of each set of equivalent atoms:
Sr  0.000  0.223  0.000 (multiplicity 4)
Y  0.000  0.500  0.251 (multiplicity 4)
P  0.000  0.076  0.502 (multiplicity 4)

The formation energy is -2.72 eV/f.u. As for the energy above the most stable polymorph in this dataset: 0.3 kJ/mol of formula units.



[4]
Entry from the Alexandria database: crystalline SrYP at its relaxed geometry (GGA-PBE).

Unit cell a=4.0798 b=4.0798 c=37.4584 alpha=90.00 beta=90.00 gamma=120.00
Space group P-3m1 (No. 164)
One atom of each set of equivalent atoms:
Sr  0.3333  0.6667  0.3499 (multiplicity 2)
Sr  0.3333  0.6667  0.4432 (multiplicity 2)
Y  0.3333  0.6667  0.7455 (multiplicity 2)
Y  0.3333  0.6667  0.8322 (multiplicity 2)
P  0.3333  0.6667  0.2096 (multiplicity 2)
P  0.3333  0.6667  0.6027 (multiplicity 2)

The formation energy is -1.68 eV/f.u. As for the energy above the most stable polymorph in this dataset: 100.5 kJ/mol of formula units.



[5]
Entry from the Alexandria database: crystalline SrYP at its relaxed geometry (GGA-PBE).

Unit cell a=3.978 b=3.978 c=6.096 alpha=90.00 beta=90.00 gamma=90.00
Space group P4/mmm (No. 123)
One atom of each set of equivalent atoms:
Sr  0.000  0.000  0.000 (multiplicity 1)
Y  0.500  0.500  0.500 (multiplicity 1)
P  0.000  0.000  0.500 (multiplicity 1)

The formation energy is -2.72 eV/f.u. As for the energy above the most stable polymorph in this dataset: 0.0 kJ/mol of formula units.



[6]
Entry from the Alexandria database: crystalline SrY4P at its relaxed geometry (GGA-PBE).

Unit cell a=9.321 b=9.321 c=9.321 alpha=90.00 beta=90.00 gamma=90.00
Space group F-43m (No. 216)
One atom of each set of equivalent atoms:
Sr  0.000  0.000  0.000 (multiplicity 4)
Y  0.125  0.125  0.625 (multiplicity 16)
P  0.250  0.250  0.250 (multiplicity 4)

The formation energy is 2.67 eV/f.u.